--- A ---
Below is an optimized crystal structure of TlP2Pb, with properties calculated at the GGA-PBE level.

```
data_TlP2Pb
_chemical_formula_sum 'Tl4 P8 Pb4'
_symmetry_space_group_name_H-M 'F -4 3 m'
_symmetry_Int_Tables_number 216
_symmetry_space_group_name_Hall 'F -4 2 3'
_cell_length_a 7.1589
_cell_length_b 7.1589
_cell_length_c 7.1589
_cell_angle_alpha 90.00
_cell_angle_beta 90.00
_cell_angle_gamma 90.00
loop_
_atom_site_label
_atom_site_type_symbol
_atom_site_fract_x
_atom_site_fract_y
_atom_site_fract_z
Tl1 Tl 0.0000 0.0000 0.0000
P1 P 0.0000 0.0000 0.5000
P2 P 0.2500 0.2500 0.2500
Pb1 Pb 0.2500 0.2500 0.7500
```

--- B ---
Below is an optimized crystal structure of TlP2Pb, with properties calculated at the GGA-PBE level.

```
data_TlP2Pb
_chemical_formula_sum 'Tl1 P2 Pb1'
_symmetry_space_group_name_H-M 'P 1 m 1'
_symmetry_Int_Tables_number 6
_cell_length_a 3.9799
_cell_length_b 4.4805
_cell_length_c 6.4262
_cell_angle_alpha 90.00
_cell_angle_beta 107.47
_cell_angle_gamma 90.00
loop_
_symmetry_equiv_pos_as_xyz
'x,y,z'
'x,-y,z'
loop_
_atom_site_label
_atom_site_type_symbol
_atom_site_fract_x
_atom_site_fract_y
_atom_site_fract_z
Tl1 Tl 0.0000 0.0000 0.0000
P1 P 0.6128 0.5000 0.2316
P2 P 0.6866 0.0000 0.3832
Pb1 Pb 0.2691 0.5000 0.5529
```

Name the most stable of them. B.

--- A ---
Below is an optimized crystal structure of TlP2Pb2, with properties calculated at the GGA-PBE level.

```
data_TlP2Pb2
_chemical_formula_sum 'Tl2 P4 Pb4'
_symmetry_space_group_name_H-M 'I 4/m m m'
_symmetry_Int_Tables_number 139
_symmetry_space_group_name_Hall '-I 4 2'
_cell_length_a 5.2645
_cell_length_b 5.2645
_cell_length_c 10.3701
_cell_angle_alpha 90.00
_cell_angle_beta 90.00
_cell_angle_gamma 90.00
loop_
_atom_site_label
_atom_site_type_symbol
_atom_site_fract_x
_atom_site_fract_y
_atom_site_fract_z
Tl1 Tl 0.0000 0.0000 0.0000
P1 P 0.0000 0.5000 0.2500
Pb1 Pb 0.0000 0.0000 0.3450
```

--- B ---
Below is an optimized crystal structure of TlP2Pb2, with properties calculated at the GGA-PBE level.

```
data_TlP2Pb2
_chemical_formula_sum 'Tl2 P4 Pb4'
_symmetry_space_group_name_H-M 'I 4/m m m'
_symmetry_Int_Tables_number 139
_symmetry_space_group_name_Hall '-I 4 2'
_cell_length_a 5.6576
_cell_length_b 5.6576
_cell_length_c 8.3884
_cell_angle_alpha 90.00
_cell_angle_beta 90.00
_cell_angle_gamma 90.00
loop_
_atom_site_label
_atom_site_type_symbol
_atom_site_fract_x
_atom_site_fract_y
_atom_site_fract_z
Tl1 Tl 0.0000 0.0000 0.0000
P1 P 0.0000 0.0000 0.3718
Pb1 Pb 0.0000 0.5000 0.2500
```

Name the most stable of them. B.

--- A ---
Below is an optimized crystal structure of TlP2Pb2, with properties calculated at the GGA-PBE level.

```
data_TlP2Pb2
_chemical_formula_sum 'Tl2 P4 Pb4'
_symmetry_space_group_name_H-M 'P 4/m b m'
_symmetry_Int_Tables_number 127
_symmetry_space_group_name_Hall '-P 4 2ab'
_cell_length_a 8.2551
_cell_length_b 8.2551
_cell_length_c 3.8424
_cell_angle_alpha 90.00
_cell_angle_beta 90.00
_cell_angle_gamma 90.00
loop_
_atom_site_label
_atom_site_type_symbol
_atom_site_fract_x
_atom_site_fract_y
_atom_site_fract_z
Tl1 Tl 0.0000 0.0000 0.0000
P1 P 0.0951 0.4049 0.0000
Pb1 Pb 0.1793 0.6793 0.5000
```

--- B ---
Below is an optimized crystal structure of TlP2Pb2, with properties calculated at the GGA-PBE level.

```
data_TlP2Pb2
_chemical_formula_sum 'Tl2 P4 Pb4'
_symmetry_space_group_name_H-M 'I 4/m m m'
_symmetry_Int_Tables_number 139
_symmetry_space_group_name_Hall '-I 4 2'
_cell_length_a 4.4500
_cell_length_b 4.4500
_cell_length_c 14.6334
_cell_angle_alpha 90.00
_cell_angle_beta 90.00
_cell_angle_gamma 90.00
loop_
_atom_site_label
_atom_site_type_symbol
_atom_site_fract_x
_atom_site_fract_y
_atom_site_fract_z
Tl1 Tl 0.0000 0.0000 0.0000
P1 P 0.0000 0.5000 0.2500
Pb1 Pb 0.0000 0.0000 0.3707
```

Name the most stable of them. A.

--- A ---
Below is an optimized crystal structure of TlPPb3, with properties calculated at the GGA-PBE level.

```
data_TlPPb3
_chemical_formula_sum 'Tl1 P1 Pb3'
_symmetry_space_group_name_H-M 'P m -3 m'
_symmetry_Int_Tables_number 221
_symmetry_space_group_name_Hall '-P 4 2 3'
_cell_length_a 5.7770
_cell_length_b 5.7770
_cell_length_c 5.7770
_cell_angle_alpha 90.00
_cell_angle_beta 90.00
_cell_angle_gamma 90.00
loop_
_atom_site_label
_atom_site_type_symbol
_atom_site_fract_x
_atom_site_fract_y
_atom_site_fract_z
Tl1 Tl 0.0000 0.0000 0.0000
P1 P 0.5000 0.5000 0.5000
Pb1 Pb 0.0000 0.0000 0.5000
```

--- B ---
Below is an optimized crystal structure of TlPPb3, with properties calculated at the GGA-PBE level.

```
data_TlPPb3
_chemical_formula_sum 'Tl1 P1 Pb3'
_symmetry_space_group_name_H-M 'P m -3 m'
_symmetry_Int_Tables_number 221
_symmetry_space_group_name_Hall '-P 4 2 3'
_cell_length_a 5.5240
_cell_length_b 5.5240
_cell_length_c 5.5240
_cell_angle_alpha 90.00
_cell_angle_beta 90.00
_cell_angle_gamma 90.00
loop_
_atom_site_label
_atom_site_type_symbol
_atom_site_fract_x
_atom_site_fract_y
_atom_site_fract_z
Tl1 Tl 0.0000 0.0000 0.0000
P1 P 0.5000 0.5000 0.5000
Pb1 Pb 0.0000 0.5000 0.5000
```

Name the most stable of them. B.

--- A ---
Below is an optimized crystal structure of Tm3PPb, with properties calculated at the GGA-PBE level.

```
data_Tm3PPb
_chemical_formula_sum 'Tm3 P1 Pb1'
_symmetry_space_group_name_H-M 'P m -3 m'
_symmetry_Int_Tables_number 221
_symmetry_space_group_name_Hall '-P 4 2 3'
_cell_length_a 5.1692
_cell_length_b 5.1692
_cell_length_c 5.1692
_cell_angle_alpha 90.00
_cell_angle_beta 90.00
_cell_angle_gamma 90.00
loop_
_atom_site_label
_atom_site_type_symbol
_atom_site_fract_x
_atom_site_fract_y
_atom_site_fract_z
Tm1 Tm 0.0000 0.0000 0.5000
P1 P 0.0000 0.0000 0.0000
Pb1 Pb 0.5000 0.5000 0.5000
```

--- B ---
Below is an optimized crystal structure of Tm3PPb, with properties calculated at the GGA-PBE level.

```
data_Tm3PPb
_chemical_formula_sum 'Tm12 P4 Pb4'
_symmetry_space_group_name_H-M 'P n m a'
_symmetry_Int_Tables_number 62
_cell_length_a 8.5287
_cell_length_b 4.1259
_cell_length_c 14.6153
_cell_angle_alpha 90.00
_cell_angle_beta 90.00
_cell_angle_gamma 90.00
loop_
_symmetry_equiv_pos_as_xyz
'x,y,z'
'-x,-y,-z'
'-x+1/2,-y,z+1/2'
'x+1/2,y,-z+1/2'
'x+1/2,-y+1/2,-z+1/2'
'-x+1/2,y+1/2,z+1/2'
'-x,y+1/2,-z'
'x,-y+1/2,z'
loop_
_atom_site_label
_atom_site_type_symbol
_atom_site_fract_x
_atom_site_fract_y
_atom_site_fract_z
Tm1 Tm 0.0240 0.2500 0.1080
Tm2 Tm 0.1631 0.2500 0.5140
Tm3 Tm 0.1925 0.7500 0.2833
P1 P 0.1689 0.2500 0.9432
Pb1 Pb 0.0863 0.7500 0.6751
```

Name the most stable of them. B.

--- A ---
Below is an optimized crystal structure of Tm2PPb, with properties calculated at the GGA-PBE level.

```
data_Tm2PPb
_chemical_formula_sum 'Tm6 P3 Pb3'
_symmetry_space_group_name_H-M 'R 3 m'
_symmetry_Int_Tables_number 160
_symmetry_space_group_name_Hall 'R 3 -2"'
_cell_length_a 3.8390
_cell_length_b 3.8390
_cell_length_c 24.0509
_cell_angle_alpha 90.00
_cell_angle_beta 90.00
_cell_angle_gamma 120.00
loop_
_atom_site_label
_atom_site_type_symbol
_atom_site_fract_x
_atom_site_fract_y
_atom_site_fract_z
Tm1 Tm 0.0000 0.0000 0.0000
Tm2 Tm 0.0000 0.0000 0.2050
P1 P 0.0000 0.0000 0.6034
Pb1 Pb 0.0000 0.0000 0.4356
```

--- B ---
Below is an optimized crystal structure of Tm2PPb, with properties calculated at the GGA-PBE level.

```
data_Tm2PPb
_chemical_formula_sum 'Tm4 P2 Pb2'
_symmetry_space_group_name_H-M 'C 1 2/m 1'
_symmetry_Int_Tables_number 12
_cell_length_a 6.7198
_cell_length_b 3.8701
_cell_length_c 8.1298
_cell_angle_alpha 90.00
_cell_angle_beta 105.87
_cell_angle_gamma 90.00
loop_
_symmetry_equiv_pos_as_xyz
'x,y,z'
'-x,-y,-z'
'-x,y,-z'
'x,-y,z'
'x+1/2,y+1/2,z'
'-x+1/2,-y+1/2,-z'
'-x+1/2,y+1/2,-z'
'x+1/2,-y+1/2,z'
loop_
_atom_site_label
_atom_site_type_symbol
_atom_site_fract_x
_atom_site_fract_y
_atom_site_fract_z
Tm1 Tm 0.2319 0.0000 0.1966
P1 P 0.0000 0.5000 0.0000
Pb1 Pb 0.0000 0.0000 0.5000
```

Name the most stable of them. B.